Ag2B2Pd: optimized geometry, PBE.

Properties
**Energy of formation**: 0.4091 eV per atom
**Fermi-level density of states**: 0.514 states/eV/atom
**Magnetic moment**: 0.00 μB/cell
**Offset from the most stable computed form**: 0.00 eV per formula unit
**Calculated volume**: 127 Å³/cell
**VASP energy**: -4.44 eV per atom

Cell lengths 5.6317, 5.6317, 4.0161 Å; angles 90.00, 90.00, 90.00 degrees
Space group P4/mbm (No. 127)
Inequivalent atoms, fractional coordinates:
1 Ag 0.1948 0.3052 0.0000 (multiplicity 4)
2 B 0.1042 0.6042 0.5000 (multiplicity 4)
3 Pd 0.0000 0.0000 0.5000 (multiplicity 2)